DFT (PBE) results for an optimized crystal structure of Tb7Ag2Ru2.

Values from the calculation:
N(E_F) ... 19.8 states/eV/cell
Calculated volume ... 606 Å³/cell
Energy relative to the elements ... -1.92 eV per formula unit

a = 7.861 Å, b = 10.906 Å, c = 7.069 Å
α = 90.00°, β = 90.00°, γ = 90.00°
Space group Cmmm (No. 65)
Inequivalent atoms, fractional coordinates:
1 Tb 0.000 0.000 0.000 x2
2 Tb 0.000 0.500 0.246 x4
3 Tb 0.250 0.250 0.257 x8
4 Ag 0.177 0.000 0.500 x4
5 Ru 0.000 0.295 0.000 x4